A relaxed structure of Mn3InAu. Source: the Alexandria database, functional PBE.

Its space group is No. 221. Its formation energy is 815.2 meV/atom. As for the offset from the most stable computed form: 0 meV per atom.

The structure in CIF format:
```
data_Mn3InAu
_chemical_formula_sum 'Mn3 In1 Au1'
_space_group_name_H-M_alt 'P 1'
_space_group_IT_number 1
_cell_length_a 4.960
_cell_length_b 4.960
_cell_length_c 4.960
_cell_angle_alpha 90.00
_cell_angle_beta 90.00
_cell_angle_gamma 90.00
loop_
_space_group_symop_operation_xyz
'x,y,z'
loop_
_atom_site_label
_atom_site_fract_x
_atom_site_fract_y
_atom_site_fract_z
Mn1 0.000 0.500 0.000
Mn2 0.000 0.000 0.500
Mn3 0.500 0.000 0.000
Au1 0.000 0.000 0.000
In1 0.500 0.500 0.500
```



A relaxed structure of MnInAu4. Source: the Alexandria database, functional PBE.

Its space group is No. 216. Its formation energy is 87.7 meV/atom. As for the offset from the most stable computed form: 173 meV per atom.

The structure in CIF format:
```
data_MnInAu4
_chemical_formula_sum 'Mn1 In1 Au4'
_space_group_name_H-M_alt 'P 1'
_space_group_IT_number 1
_cell_length_a 5.534
_cell_length_b 5.534
_cell_length_c 5.534
_cell_angle_alpha 60.00
_cell_angle_beta 60.00
_cell_angle_gamma 60.00
loop_
_space_group_symop_operation_xyz
'x,y,z'
loop_
_atom_site_label
_atom_site_fract_x
_atom_site_fract_y
_atom_site_fract_z
Mn1 0.000 0.000 0.000
In1 0.750 0.750 0.750
Au1 0.876 0.375 0.375
Au2 0.375 0.375 0.876
Au3 0.375 0.876 0.375
Au4 0.375 0.375 0.375
```



A relaxed structure of MnInAu5. Source: the Alexandria database, functional PBE.

Its space group is No. 123. Its formation energy is -54.6 meV/atom.

The structure in CIF format:
```
data_MnInAu5
_chemical_formula_sum 'Mn1 In1 Au5'
_space_group_name_H-M_alt 'P 1'
_space_group_IT_number 1
_cell_length_a 4.011
_cell_length_b 4.011
_cell_length_c 8.542
_cell_angle_alpha 90.00
_cell_angle_beta 90.00
_cell_angle_gamma 90.00
loop_
_space_group_symop_operation_xyz
'x,y,z'
loop_
_atom_site_label
_atom_site_fract_x
_atom_site_fract_y
_atom_site_fract_z
Mn1 0.000 0.000 0.500
In1 0.500 0.500 0.000
Au1 0.000 0.500 0.752
Au2 0.000 0.500 0.248
Au3 0.500 0.000 0.752
Au4 0.500 0.000 0.248
Au5 0.500 0.500 0.500
```



A relaxed structure of MnIn3Au. Source: the Alexandria database, functional PBE.

Its space group is No. 221. Its formation energy is 386.3 meV/atom. As for the offset from the most stable computed form: 0 meV per atom.

The structure in CIF format:
```
data_MnIn3Au
_chemical_formula_sum 'Mn1 In3 Au1'
_space_group_name_H-M_alt 'P 1'
_space_group_IT_number 1
_cell_length_a 5.075
_cell_length_b 5.075
_cell_length_c 5.075
_cell_angle_alpha 90.00
_cell_angle_beta 90.00
_cell_angle_gamma 90.00
loop_
_space_group_symop_operation_xyz
'x,y,z'
loop_
_atom_site_label
_atom_site_fract_x
_atom_site_fract_y
_atom_site_fract_z
Mn1 0.000 0.000 0.000
Au1 0.500 0.500 0.500
In1 0.000 0.500 0.000
In2 0.000 0.000 0.500
In3 0.500 0.000 0.000
```



A relaxed structure of MnInAu3. Source: the Alexandria database, functional PBE.

Its space group is No. 11. Its formation energy is -75.5 meV/atom. As for the offset from the most stable computed form: 27 meV per atom.

The structure in CIF format:
```
data_MnInAu3
_chemical_formula_sum 'Mn2 In2 Au6'
_space_group_name_H-M_alt 'P 1'
_space_group_IT_number 1
_cell_length_a 3.663
_cell_length_b 6.080
_cell_length_c 8.768
_cell_angle_alpha 79.41
_cell_angle_beta 90.00
_cell_angle_gamma 90.00
loop_
_space_group_symop_operation_xyz
'x,y,z'
loop_
_atom_site_label
_atom_site_fract_x
_atom_site_fract_y
_atom_site_fract_z
Mn1 0.250 0.461 0.248
Mn2 0.750 0.539 0.752
In1 0.250 0.950 0.187
In2 0.750 0.050 0.813
Au1 0.750 0.661 0.408
Au2 0.250 0.339 0.592
Au3 0.750 0.313 0.052
Au4 0.250 0.853 0.610
Au5 0.250 0.687 0.948
Au6 0.750 0.147 0.390
```



A relaxed structure of MnIn2Au2. Source: the Alexandria database, functional PBE.

Its space group is No. 127. Its formation energy is 33.0 meV/atom.

The structure in CIF format:
```
data_MnIn2Au2
_chemical_formula_sum 'Mn2 In4 Au4'
_space_group_name_H-M_alt 'P 1'
_space_group_IT_number 1
_cell_length_a 7.222
_cell_length_b 7.222
_cell_length_c 4.057
_cell_angle_alpha 90.00
_cell_angle_beta 90.00
_cell_angle_gamma 90.00
loop_
_space_group_symop_operation_xyz
'x,y,z'
loop_
_atom_site_label
_atom_site_fract_x
_atom_site_fract_y
_atom_site_fract_z
Mn1 0.000 0.000 0.000
Mn2 0.500 0.500 0.000
Au1 0.358 0.858 0.000
Au2 0.858 0.642 0.000
Au3 0.642 0.142 0.000
Au4 0.142 0.358 0.000
In1 0.167 0.667 0.500
In2 0.667 0.833 0.500
In3 0.833 0.333 0.500
In4 0.333 0.167 0.500
```



A relaxed structure of MnInAu4. Source: the Alexandria database, functional PBE.

Its space group is No. 123. Its formation energy is -85.3 meV/atom. As for the offset from the most stable computed form: 0 meV per atom.

The structure in CIF format:
```
data_MnInAu4
_chemical_formula_sum 'Mn1 In1 Au4'
_space_group_name_H-M_alt 'P 1'
_space_group_IT_number 1
_cell_length_a 3.473
_cell_length_b 3.473
_cell_length_c 9.162
_cell_angle_alpha 90.00
_cell_angle_beta 90.00
_cell_angle_gamma 90.00
loop_
_space_group_symop_operation_xyz
'x,y,z'
loop_
_atom_site_label
_atom_site_fract_x
_atom_site_fract_y
_atom_site_fract_z
Mn1 0.500 0.500 0.500
In1 0.000 0.000 0.000
Au1 0.500 0.500 0.822
Au2 0.500 0.500 0.178
Au3 0.000 0.000 0.652
Au4 0.000 0.000 0.348
```



A relaxed structure of MnInNiAu. Source: the Alexandria database, functional PBE.

Its space group is No. 216. Its formation energy is -22.8 meV/atom.

The structure in CIF format:
```
data_MnInNiAu
_chemical_formula_sum 'Mn1 In1 Ni1 Au1'
_space_group_name_H-M_alt 'P 1'
_space_group_IT_number 1
_cell_length_a 4.514
_cell_length_b 4.514
_cell_length_c 4.514
_cell_angle_alpha 60.00
_cell_angle_beta 60.00
_cell_angle_gamma 60.00
loop_
_space_group_symop_operation_xyz
'x,y,z'
loop_
_atom_site_label
_atom_site_fract_x
_atom_site_fract_y
_atom_site_fract_z
Ni1 0.250 0.250 0.250
Mn1 0.500 0.500 0.500
Au1 0.750 0.750 0.750
In1 0.000 0.000 0.000
```



A relaxed structure of PaMnInAu. Source: the Alexandria database, functional PBE.

Its space group is No. 216. Its formation energy is 4.3 meV/atom.

The structure in CIF format:
```
data_PaMnInAu
_chemical_formula_sum 'Pa1 Mn1 In1 Au1'
_space_group_name_H-M_alt 'P 1'
_space_group_IT_number 1
_cell_length_a 4.899
_cell_length_b 4.899
_cell_length_c 4.899
_cell_angle_alpha 60.00
_cell_angle_beta 60.00
_cell_angle_gamma 60.00
loop_
_space_group_symop_operation_xyz
'x,y,z'
loop_
_atom_site_label
_atom_site_fract_x
_atom_site_fract_y
_atom_site_fract_z
Pa1 0.750 0.750 0.750
Au1 0.000 0.000 0.000
Mn1 0.500 0.500 0.500
In1 0.250 0.250 0.250
```



A relaxed structure of PuMnInAu. Source: the Alexandria database, functional PBE.

Its space group is No. 216. Its formation energy is 75.7 meV/atom.

The structure in CIF format:
```
data_PuMnInAu
_chemical_formula_sum 'Pu1 Mn1 In1 Au1'
_space_group_name_H-M_alt 'P 1'
_space_group_IT_number 1
_cell_length_a 4.964
_cell_length_b 4.964
_cell_length_c 4.964
_cell_angle_alpha 60.00
_cell_angle_beta 60.00
_cell_angle_gamma 60.00
loop_
_space_group_symop_operation_xyz
'x,y,z'
loop_
_atom_site_label
_atom_site_fract_x
_atom_site_fract_y
_atom_site_fract_z
In1 0.250 0.250 0.250
Au1 0.000 0.000 0.000
Mn1 0.500 0.500 0.500
Pu1 0.750 0.750 0.750
```



A relaxed structure of MnIn2SbAu. Source: the Alexandria database, functional PBE.

Its space group is No. 123. For the formation energy without anion corrections, the calculation gives 0.28 eV per atom.

The structure in CIF format:
```
data_MnIn2SbAu
_chemical_formula_sum 'Mn1 In2 Sb1 Au1'
_space_group_name_H-M_alt 'P 1'
_space_group_IT_number 1
_cell_length_a 5.117
_cell_length_b 4.753
_cell_length_c 5.117
_cell_angle_alpha 90.00
_cell_angle_beta 90.00
_cell_angle_gamma 90.00
loop_
_space_group_symop_operation_xyz
'x,y,z'
loop_
_atom_site_label
_atom_site_fract_x
_atom_site_fract_y
_atom_site_fract_z
Sb1 0.000 0.500 0.000
Mn1 0.000 0.000 0.000
Au1 0.500 0.500 0.500
In1 0.000 0.000 0.500
In2 0.500 0.000 0.000
```



A relaxed structure of MnIn2Sb2Au7. Source: the Alexandria database, functional PBE.

Its space group is No. 12. For the formation energy without anion corrections, the calculation gives -0.04 eV per atom.

The structure in CIF format:
```
data_MnIn2Sb2Au7
_chemical_formula_sum 'Mn1 In2 Sb2 Au7'
_space_group_name_H-M_alt 'P 1'
_space_group_IT_number 1
_cell_length_a 4.052
_cell_length_b 4.052
_cell_length_c 17.002
_cell_angle_alpha 83.19
_cell_angle_beta 83.19
_cell_angle_gamma 89.98
loop_
_space_group_symop_operation_xyz
'x,y,z'
loop_
_atom_site_label
_atom_site_fract_x
_atom_site_fract_y
_atom_site_fract_z
Mn1 0.000 0.000 0.000
In1 0.621 0.621 0.753
In2 0.379 0.379 0.247
Sb1 0.788 0.788 0.426
Sb2 0.212 0.212 0.574
Au1 0.500 0.500 0.000
Au2 0.296 0.296 0.409
Au3 0.704 0.704 0.591
Au4 0.938 0.439 0.126
Au5 0.439 0.938 0.126
Au6 0.561 0.062 0.874
Au7 0.062 0.561 0.874
```



A relaxed structure of TaMnIn2Au. Source: the Alexandria database, functional PBE.

Its space group is No. 123. Its formation energy is 1100.9 meV/atom.

The structure in CIF format:
```
data_TaMnIn2Au
_chemical_formula_sum 'Ta1 Mn1 In2 Au1'
_space_group_name_H-M_alt 'P 1'
_space_group_IT_number 1
_cell_length_a 5.397
_cell_length_b 5.061
_cell_length_c 5.397
_cell_angle_alpha 90.00
_cell_angle_beta 90.00
_cell_angle_gamma 90.00
loop_
_space_group_symop_operation_xyz
'x,y,z'
loop_
_atom_site_label
_atom_site_fract_x
_atom_site_fract_y
_atom_site_fract_z
In1 0.000 0.000 0.500
In2 0.500 0.000 0.000
Au1 0.000 0.500 0.000
Mn1 0.500 0.500 0.500
Ta1 0.000 0.000 0.000
```



Number 1: size of the total moment 12.7 Bohr magnetons per cell, calculated density 6.5 g/cm3, electronic total energy -5.890 eV per atom. Number 2: size of the total moment 4.4 Bohr magnetons per cell, calculated density 13.3 g/cm3, electronic total energy -4.082 eV per atom. Number 3: size of the total moment 4.7 Bohr magnetons per cell, calculated density 14.0 g/cm3, electronic total energy -4.097 eV per atom. Number 4: size of the total moment 2.6 Bohr magnetons per cell, calculated density 7.6 g/cm3, electronic total energy -3.746 eV per atom. Number 5: size of the total moment 8.2 Bohr magnetons per cell, calculated density 13.2 g/cm3, electronic total energy -4.423 eV per atom. Number 6: size of the total moment 8.4 Bohr magnetons per cell, calculated density 10.6 g/cm3, electronic total energy -4.207 eV per atom. Number 7: size of the total moment 4.3 Bohr magnetons per cell, calculated density 14.4 g/cm3, electronic total energy -4.255 eV per atom. Number 8: size of the total moment 4.2 Bohr magnetons per cell, calculated density 10.9 g/cm3, electronic total energy -5.265 eV per atom. Number 9: size of the total moment 2.6 Bohr magnetons per cell, calculated density 11.9 g/cm3, electronic total energy -6.166 eV per atom. Number 10: size of the total moment 9.8 Bohr magnetons per cell, calculated density 11.7 g/cm3, electronic total energy -7.304 eV per atom. Number 11: size of the total moment 0.9 Bohr magnetons per cell, calculated density 8.1 g/cm3, electronic total energy -4.129 eV per atom. Number 12: size of the total moment 4.5 Bohr magnetons per cell, calculated density 11.5 g/cm3, electronic total energy -3.864 eV per atom. Number 13: size of the total moment 4.6 Bohr magnetons per cell, calculated density 7.5 g/cm3, electronic total energy -4.854 eV per atom.